PaZn2NiN4, optimized geometry, DFT PBE; symmetry = No. 31; N(E_F) = 8.605 states/eV/cell; E_tot = -105.72 eV/cell
1.0
6.467 0.000 0.000
0.000 6.398 0.000
0.000 0.000 4.918
Pa Zn Ni N
2 4 2 8
Direct
0.000 0.141 0.000 Pa
0.500 0.859 0.500 Pa
0.249 0.648 0.035 Zn
0.251 0.352 0.535 Zn
0.749 0.352 0.535 Zn
0.751 0.648 0.035 Zn
0.000 0.836 0.516 Ni
0.500 0.164 0.016 Ni
0.000 0.140 0.490 N
0.000 0.811 0.911 N
0.233 0.655 0.457 N
0.267 0.345 0.957 N
0.500 0.189 0.411 N
0.500 0.860 0.990 N
0.733 0.345 0.957 N
0.767 0.655 0.457 N